Computed, not measured: an optimized crystal structure of Y2H16S3O20 at the GGA-PBE level of DFT.

```
data_Y2H16S3O20
_symmetry_space_group_name_H-M 'C 1 2/c 1'
_symmetry_Int_Tables_number 15
_cell_length_a 13.5288
_cell_length_b 6.7548
_cell_length_c 18.3340
_cell_angle_alpha 90.00
_cell_angle_beta 102.65
_cell_angle_gamma 90.00
loop_
_symmetry_equiv_pos_as_xyz
'x,y,z'
'-x,-y,-z'
'-x,y,-z+1/2'
'x,-y,z+1/2'
'x+1/2,y+1/2,z'
'-x+1/2,-y+1/2,-z'
'-x+1/2,y+1/2,-z+1/2'
'x+1/2,-y+1/2,z+1/2'
loop_
_atom_site_label
_atom_site_fract_x
_atom_site_fract_y
_atom_site_fract_z
Y1 0.1689 0.0232 0.3927
H1 0.0083 0.3278 0.3937
H2 0.0086 0.2931 0.8398
H3 0.0109 0.1776 0.0447
H4 0.0519 0.0949 0.6488
H5 0.1229 0.4157 0.5066
H6 0.1437 0.3527 0.0174
H7 0.1695 0.4675 0.1974
H8 0.2263 0.0212 0.2451
S1 0.0000 0.3291 0.2500
S2 0.2164 0.0292 0.0904
O1 0.0167 0.1555 0.8583
O2 0.0336 0.4554 0.1927
O3 0.0432 0.2429 0.4362
O4 0.0855 0.2024 0.2876
O5 0.1431 0.0803 0.0173
O6 0.1579 0.4829 0.0419
O7 0.1606 0.0306 0.1513
O8 0.2011 0.3217 0.8952
O9 0.2412 0.3318 0.4190
O10 0.2419 0.4978 0.2015
```

The value obtained for the total DFT energy (no corrections) is -960.18 eV for the cell shown. The size of the total moment comes out at 0.00 μB per atom.



Computed, not measured: an optimized crystal structure of YH5S3O13 at the GGA-PBE level of DFT.

```
data_YH5S3O13
_symmetry_space_group_name_H-M 'P -1'
_symmetry_Int_Tables_number 2
_cell_length_a 6.9186
_cell_length_b 8.1914
_cell_length_c 9.6826
_cell_angle_alpha 81.07
_cell_angle_beta 78.87
_cell_angle_gamma 77.01
loop_
_symmetry_equiv_pos_as_xyz
'x,y,z'
'-x,-y,-z'
loop_
_atom_site_label
_atom_site_fract_x
_atom_site_fract_y
_atom_site_fract_z
Y1 0.1366 0.1829 0.1973
H1 0.0412 0.2718 0.6958
H2 0.2089 0.4353 0.3676
H3 0.3969 0.2873 0.3814
H4 0.4364 0.6492 0.1135
H5 0.4933 0.3457 0.6156
S1 0.1930 0.3840 0.8220
S2 0.2130 0.7929 0.4510
S3 0.3081 0.8397 0.9551
O1 0.0533 0.5353 0.7752
O2 0.1096 0.8417 0.5880
O3 0.1249 0.6720 0.3965
O4 0.1578 0.2358 0.7531
O5 0.1655 0.3387 0.9752
O6 0.1728 0.8243 0.8614
O7 0.2179 0.9690 0.0499
O8 0.2454 0.9363 0.3442
O9 0.2683 0.3192 0.3465
O10 0.3345 0.6633 0.0483
O11 0.4065 0.3952 0.7683
O12 0.4284 0.6946 0.4788
O13 0.4948 0.1382 0.1235
```

The value obtained for the total DFT energy (no corrections) is -267.40 eV for the cell shown. The size of the total moment comes out at 0.00 μB per atom.



Computed, not measured: an optimized crystal structure of ZnH12S2O12 at the GGA-PBE level of DFT.

```
data_ZnH12S2O12
_symmetry_space_group_name_H-M 'P -1'
_symmetry_Int_Tables_number 2
_cell_length_a 6.4878
_cell_length_b 6.7429
_cell_length_c 6.9993
_cell_angle_alpha 101.98
_cell_angle_beta 96.31
_cell_angle_gamma 94.96
loop_
_symmetry_equiv_pos_as_xyz
'x,y,z'
'-x,-y,-z'
loop_
_atom_site_label
_atom_site_fract_x
_atom_site_fract_y
_atom_site_fract_z
Zn1 0.0000 0.0000 0.0000
H1 0.0633 0.4075 0.1842
H2 0.1799 0.6712 0.8317
H3 0.1940 0.8392 0.2923
H4 0.2054 0.0755 0.3886
H5 0.2918 0.1531 0.8128
H6 0.3907 0.1836 0.0357
S1 0.4985 0.5471 0.3584
O1 0.0499 0.6961 0.8893
O2 0.1316 0.9653 0.2826
O3 0.2829 0.5898 0.3092
O4 0.2935 0.0917 0.9289
O5 0.3459 0.2728 0.6021
O6 0.4426 0.6305 0.7774
```

The value obtained for the total DFT energy (no corrections) is -140.01 eV for the cell shown. The size of the total moment comes out at 0.00 μB per atom.



Computed, not measured: an optimized crystal structure of ZnH2S2O8 at the GGA-PBE level of DFT.

```
data_ZnH2S2O8
_symmetry_space_group_name_H-M 'P 1 21/c 1'
_symmetry_Int_Tables_number 14
_cell_length_a 4.9875
_cell_length_b 8.3315
_cell_length_c 8.3916
_cell_angle_alpha 90.00
_cell_angle_beta 117.52
_cell_angle_gamma 90.00
loop_
_symmetry_equiv_pos_as_xyz
'x,y,z'
'-x,-y,-z'
'-x,y+1/2,-z+1/2'
'x,-y+1/2,z+1/2'
loop_
_atom_site_label
_atom_site_fract_x
_atom_site_fract_y
_atom_site_fract_z
Zn1 0.0000 0.0000 0.0000
H1 0.4357 0.0190 0.6630
S1 0.3337 0.6797 0.2858
O1 0.0788 0.6326 0.3168
O2 0.3026 0.6506 0.7266
O3 0.3146 0.5838 0.1208
O4 0.3706 0.1508 0.0587
```

The value obtained for the total DFT energy (no corrections) is -144.82 eV for the cell shown. The size of the total moment comes out at 0.00 μB per atom.